No. 1
# Pm6Zn2Cd (PBE, relaxed)
# **DOS(E_F)**: 22.678 states/eV per cell
# **SG**: Immm, No. 71
# **Energy of formation**: -0.169 eV/atom
# **Total DFT energy (no corrections)**: -3.721 eV per atom
data_Pm6Zn2Cd
_cell_length_a 8.8101
_cell_length_b 8.8101
_cell_length_c 8.8101
_cell_angle_alpha 108.04
_cell_angle_beta 111.20
_cell_angle_gamma 109.19
_space_group_name_H-M_alt 'P 1'
_space_group_IT_number 1
loop_
_space_group_symop_operation_xyz
'x,y,z'
loop_
_atom_site_label
_atom_site_type_symbol
_atom_site_fract_x
_atom_site_fract_y
_atom_site_fract_z
Pm1 Pm 0.4509 0.2689 0.1819
Pm2 Pm 0.2825 0.6017 0.3192
Pm3 Pm 0.7175 0.3983 0.6808
Pm4 Pm 0.2825 0.9632 0.6808
Pm5 Pm 0.7947 0.2458 0.0405
Pm6 Pm 0.7175 0.0368 0.3192
Pm7 Pm 0.0870 0.2689 0.8181
Pm8 Pm 0.2053 0.7542 0.9595
Pm9 Pm 0.2053 0.2458 0.4512
Pm10 Pm 0.7947 0.7542 0.5488
Pm11 Pm 0.9130 0.7311 0.1819
Pm12 Pm 0.5491 0.7311 0.8181
Zn1 Zn 0.5000 0.3766 0.8766
Zn2 Zn 0.5000 0.6234 0.1234
Zn3 Zn 0.6342 0.0000 0.6342
Zn4 Zn 0.3658 0.0000 0.3658
Cd1 Cd 0.0000 0.5000 0.5000
Cd2 Cd 0.0000 0.0000 0.0000

---

No. 2
# PmZnCd4 (PBE, relaxed)
# **DOS(E_F)**: 5.425 states/eV per cell
# **SG**: Pmma, No. 51
# **Energy of formation**: -0.207 eV/atom
# **Total DFT energy (no corrections)**: -1.821 eV per atom
# **Distance to the lowest polymorph of the same formula**: 0 meV/atom
data_PmZnCd4
_cell_length_a 4.4939
_cell_length_b 7.7227
_cell_length_c 7.8928
_cell_angle_alpha 90.00
_cell_angle_beta 90.00
_cell_angle_gamma 90.00
_space_group_name_H-M_alt 'P 1'
_space_group_IT_number 1
loop_
_space_group_symop_operation_xyz
'x,y,z'
loop_
_atom_site_label
_atom_site_type_symbol
_atom_site_fract_x
_atom_site_fract_y
_atom_site_fract_z
Pm1 Pm 0.0000 0.3747 0.2500
Pm2 Pm 0.0000 0.6253 0.7500
Zn1 Zn 0.0000 0.7633 0.2500
Zn2 Zn 0.0000 0.2367 0.7500
Cd1 Cd 0.5000 0.6815 0.4437
Cd2 Cd 0.5000 0.3185 0.5563
Cd3 Cd 0.5000 0.3185 0.9437
Cd4 Cd 0.5000 0.9330 0.7500
Cd5 Cd 0.0000 0.0000 0.5000
Cd6 Cd 0.5000 0.0670 0.2500
Cd7 Cd 0.5000 0.6815 0.0563
Cd8 Cd 0.0000 0.0000 0.0000

---

No. 3
# PmZn3Cd (PBE, relaxed)
# **DOS(E_F)**: 6.375 states/eV per cell
# **SG**: Cmcm, No. 63
# **Energy of formation**: -0.210 eV/atom
# **Total DFT energy (no corrections)**: -2.108 eV per atom
data_PmZn3Cd
_cell_length_a 4.4751
_cell_length_b 3.6607
_cell_length_c 12.9268
_cell_angle_alpha 98.14
_cell_angle_beta 90.00
_cell_angle_gamma 90.00
_space_group_name_H-M_alt 'P 1'
_space_group_IT_number 1
loop_
_space_group_symop_operation_xyz
'x,y,z'
loop_
_atom_site_label
_atom_site_type_symbol
_atom_site_fract_x
_atom_site_fract_y
_atom_site_fract_z
Zn1 Zn 0.2500 0.6788 0.3576
Zn2 Zn 0.7500 0.5246 0.0491
Zn3 Zn 0.7500 0.6259 0.2518
Zn4 Zn 0.2500 0.4754 0.9509
Zn5 Zn 0.7500 0.3212 0.6424
Zn6 Zn 0.2500 0.3741 0.7482
Pm1 Pm 0.7500 0.9234 0.8468
Pm2 Pm 0.2500 0.0766 0.1532
Cd1 Cd 0.2500 0.7873 0.5747
Cd2 Cd 0.7500 0.2127 0.4253

---

No. 4
# PmZn2Cd (PBE, relaxed)
# **DOS(E_F)**: 1.921 states/eV per cell
# **SG**: P4/mmm, No. 123
# **Energy of formation**: -0.153 eV/atom
# **Total DFT energy (no corrections)**: -2.207 eV per atom
# **Distance to the lowest polymorph of the same formula**: 171 meV/atom
data_PmZn2Cd
_cell_length_a 3.4551
_cell_length_b 3.4551
_cell_length_c 7.1913
_cell_angle_alpha 90.00
_cell_angle_beta 90.00
_cell_angle_gamma 90.00
_space_group_name_H-M_alt 'P 1'
_space_group_IT_number 1
loop_
_space_group_symop_operation_xyz
'x,y,z'
loop_
_atom_site_label
_atom_site_type_symbol
_atom_site_fract_x
_atom_site_fract_y
_atom_site_fract_z
Cd1 Cd 0.5000 0.5000 0.0000
Zn1 Zn 0.0000 0.0000 0.7768
Zn2 Zn 0.0000 0.0000 0.2232
Pm1 Pm 0.5000 0.5000 0.5000

---

No. 5
# Pm2Zn6Cd (PBE, relaxed)
# **DOS(E_F)**: 4.274 states/eV per cell
# **SG**: P-3m1, No. 164
# **Energy of formation**: -0.288 eV/atom
# **Total DFT energy (no corrections)**: -2.294 eV per atom
data_Pm2Zn6Cd
_cell_length_a 5.9403
_cell_length_b 5.8839
_cell_length_c 5.8839
_cell_angle_alpha 59.99
_cell_angle_beta 89.99
_cell_angle_gamma 89.99
_space_group_name_H-M_alt 'P 1'
_space_group_IT_number 1
loop_
_space_group_symop_operation_xyz
'x,y,z'
loop_
_atom_site_label
_atom_site_type_symbol
_atom_site_fract_x
_atom_site_fract_y
_atom_site_fract_z
Zn1 Zn 0.3458 0.3619 0.8190
Zn2 Zn 0.6540 0.1809 0.1809
Zn3 Zn 0.6542 0.1810 0.6381
Zn4 Zn 0.6542 0.6381 0.1810
Zn5 Zn 0.3458 0.8190 0.3619
Zn6 Zn 0.3460 0.8191 0.8191
Cd1 Cd 0.0000 0.0000 0.0000
Pm1 Pm 0.8448 0.6667 0.6667
Pm2 Pm 0.1552 0.3333 0.3333

---

No. 6
# Pm5Zn2Cd (PBE, relaxed)
# **DOS(E_F)**: 15.862 states/eV per cell
# **SG**: I4/mcm, No. 140
# **Energy of formation**: -0.213 eV/atom
# **Total DFT energy (no corrections)**: -3.615 eV per atom
data_Pm5Zn2Cd
_cell_length_a 8.5068
_cell_length_b 8.5068
_cell_length_c 8.6489
_cell_angle_alpha 119.46
_cell_angle_beta 119.46
_cell_angle_gamma 90.00
_space_group_name_H-M_alt 'P 1'
_space_group_IT_number 1
loop_
_space_group_symop_operation_xyz
'x,y,z'
loop_
_atom_site_label
_atom_site_type_symbol
_atom_site_fract_x
_atom_site_fract_y
_atom_site_fract_z
Pm1 Pm 0.5058 0.7026 0.7084
Pm2 Pm 0.0058 0.5058 0.7084
Pm3 Pm 0.5000 0.5000 0.0000
Pm4 Pm 0.9942 0.4942 0.2916
Pm5 Pm 0.7974 0.9942 0.2916
Pm6 Pm 0.4942 0.2974 0.2916
Pm7 Pm 0.0000 0.0000 0.0000
Pm8 Pm 0.7026 0.2026 0.7084
Pm9 Pm 0.2026 0.0058 0.7084
Pm10 Pm 0.2974 0.7974 0.2916
Cd1 Cd 0.2500 0.2500 0.5000
Cd2 Cd 0.7500 0.7500 0.5000
Zn1 Zn 0.3561 0.8561 0.0000
Zn2 Zn 0.8561 0.6439 0.0000
Zn3 Zn 0.1439 0.3561 0.0000
Zn4 Zn 0.6439 0.1439 0.0000

---

No. 7
# PmZn3Cd9 (PBE, relaxed)
# **DOS(E_F)**: 1.943 states/eV per cell
# **SG**: C2/m, No. 12
# **Energy of formation**: -0.117 eV/atom
# **Total DFT energy (no corrections)**: -1.410 eV per atom
data_PmZn3Cd9
_cell_length_a 5.7756
_cell_length_b 7.4300
_cell_length_c 7.4571
_cell_angle_alpha 81.55
_cell_angle_beta 67.22
_cell_angle_gamma 67.71
_space_group_name_H-M_alt 'P 1'
_space_group_IT_number 1
loop_
_space_group_symop_operation_xyz
'x,y,z'
loop_
_atom_site_label
_atom_site_type_symbol
_atom_site_fract_x
_atom_site_fract_y
_atom_site_fract_z
Cd1 Cd 0.4885 0.7869 0.2193
Cd2 Cd 0.5115 0.2131 0.7807
Cd3 Cd 0.3510 0.6571 0.6485
Cd4 Cd 0.0004 0.3429 0.6485
Cd5 Cd 0.7078 0.7869 0.7807
Cd6 Cd 0.9996 0.6571 0.3515
Cd7 Cd 0.0000 0.5000 0.0000
Cd8 Cd 0.2922 0.2131 0.2193
Cd9 Cd 0.6490 0.3429 0.3515
Zn1 Zn 0.0000 0.0000 0.5000
Zn2 Zn 0.5000 0.5000 0.0000
Zn3 Zn 0.5000 0.0000 0.5000
Pm1 Pm 0.0000 0.0000 0.0000

---

No. 8
# Pm5Zn3Cd (PBE, relaxed)
# **DOS(E_F)**: 19.812 states/eV per cell
# **SG**: P6_3/mcm, No. 193
# **Energy of formation**: -0.189 eV/atom
# **Total DFT energy (no corrections)**: -3.354 eV per atom
data_Pm5Zn3Cd
_cell_length_a 6.7328
_cell_length_b 9.0859
_cell_length_c 9.0839
_cell_angle_alpha 120.01
_cell_angle_beta 90.00
_cell_angle_gamma 90.00
_space_group_name_H-M_alt 'P 1'
_space_group_IT_number 1
loop_
_space_group_symop_operation_xyz
'x,y,z'
loop_
_atom_site_label
_atom_site_type_symbol
_atom_site_fract_x
_atom_site_fract_y
_atom_site_fract_z
Cd1 Cd 0.0000 0.0000 0.0000
Cd2 Cd 0.5000 0.0000 0.0000
Pm1 Pm 0.7500 0.3069 0.0000
Pm2 Pm 0.5000 0.6666 0.3333
Pm3 Pm 0.0000 0.3334 0.6667
Pm4 Pm 0.2500 0.6931 0.0000
Pm5 Pm 0.2500 0.3070 0.3070
Pm6 Pm 0.0000 0.6666 0.3333
Pm7 Pm 0.7500 0.6930 0.6930
Pm8 Pm 0.2500 0.0000 0.6930
Pm9 Pm 0.7500 0.0000 0.3070
Pm10 Pm 0.5000 0.3334 0.6667
Zn1 Zn 0.7500 0.6431 0.0000
Zn2 Zn 0.2500 0.3569 0.0000
Zn3 Zn 0.7500 0.9999 0.6432
Zn4 Zn 0.2500 0.0001 0.3568
Zn5 Zn 0.7500 0.3568 0.3568
Zn6 Zn 0.2500 0.6432 0.6432